No. 1
First-principles (PBE) data for crystalline Dy12Al2In5 at its relaxed geometry, as listed in Alexandria via LeMat-Bulk.

a = 12.9999 Å, b = 10.4414 Å, c = 7.9273 Å
α = 90.00°, β = 99.63°, γ = 90.00°
Last column: nearest neighbours and their distance in Å.
Space group C2/m (No. 12)
Unique sites:
Dy: 0.0751 0.0000 0.2057  2 In 3.09-3.28, 2 Al 3.32, 4 Dy 3.40-3.43
Dy: 0.1125 0.2329 0.8761  4 In 3.12-3.45, 1 Al 3.13, 3 Dy 3.36-3.50
Dy: 0.1225 0.5000 0.6440  2 In 3.16-3.46, 4 Dy 3.36-3.41
Dy: 0.1556 0.3029 0.3136  1 Al 2.95, 1 In 3.12
Al: 0.0000 0.1881 0.5000  2 In 2.90, 4 Dy 2.95-3.13
In: 0.0000 0.5000 0.0000  2 In 3.07, 4 Dy 3.37
In: 0.1634 0.0000 0.5922  2 Al 2.90, 1 In 3.07, 3 Dy 3.09-3.12
In: 0.2384 0.5000 0.0274  2 In 3.07, 8 Dy 3.12-3.37

***

No. 2
First-principles (PBE) data for crystalline Dy3AlIn at its relaxed geometry, as listed in Alexandria via LeMat-Bulk.

a = 8.0143 Å, b = 8.0143 Å, c = 5.1886 Å
α = 90.00°, β = 90.00°, γ = 120.00°
Last column: nearest neighbours and their distance in Å.
Space group P6_3/mmc (No. 194)
Unique sites:
Dy: 0.1915 0.3829 0.2500  2 Al 2.96, 2 In 3.26
Al: 0.0000 0.0000 0.0000  2 Al 2.59
In: 0.3333 0.6667 0.7500  6 Dy 3.26

***

No. 3
First-principles (PBE) data for crystalline Dy3Al4In2 at its relaxed geometry, as listed in Alexandria via LeMat-Bulk.

a = 10.7564 Å, b = 4.6963 Å, c = 8.8191 Å
α = 90.00°, β = 115.66°, γ = 90.00°
Last column: nearest neighbours and their distance in Å.
Space group C2/m (No. 12)
Unique sites:
Dy: 0.0000 0.0000 0.0000  8 Al 3.12-3.32, 4 In 3.24
Dy: 0.1651 0.5000 0.6692  8 Al 3.16-3.34, 4 In 3.22-3.24, 2 Dy 3.51-3.52
Al: 0.0463 0.0000 0.3849  1 Al 2.62, 2 In 2.74
Al: 0.2340 0.5000 0.0585  2 Al 2.65, 1 In 2.75
In: 0.1161 0.5000 0.2800  3 Al 2.74-2.75

***

Here are the calculated M_tot numbers, same order: 0.00 0.00 0.00 (μB/f.u.).
Here are the calculated mass density numbers, same order: 8.1 7.2 6.8 (Mg/m³).
Here are the calculated ΔE_f numbers, same order: -0.22 -0.14 -0.44 (eV per atom).